DFT (meta-GGA SCAN) results for a crystal of Fe2TeIr relaxed with PBEsol.

Geometry as POSCAR:
```
Fe2TeIr
1.0
3.077 0.000 0.000
0.000 3.077 0.000
0.000 0.000 6.176
Fe Te Ir
2 1 1
Direct
0.000 0.000 0.000
0.500 0.500 0.212
0.500 0.500 0.749
0.000 0.000 0.440
```

Calculated values
- ρ (Mg/m³) = 12.3
- total moment (μB per formula unit) = 5.594
- VASP energy (eV per atom) = -35.918
- symmetry = No. 99